VASP calculation (PBE-GGA) on a geometry-optimized Li8Mg3Cd4 structure.

```
30
Lattice="0.000 6.654 6.654 6.654 0.000 6.654 6.654 6.654 0.000" Properties=species:S:1:pos:R:3 pbc="T T T"
Li 8.551 4.757 4.757
Li 1.667 1.667 1.667
Li 4.987 4.987 1.667
Li 4.987 1.667 4.987
Li 4.757 4.757 4.757
Li 8.551 8.551 4.757
Li 8.551 4.757 8.551
Li 11.641 8.321 8.321
Li 1.667 4.987 4.987
Li 4.757 8.551 4.757
Li 4.757 4.757 8.551
Li 8.551 8.551 8.551
Li 8.321 11.641 8.321
Li 8.321 8.321 11.641
Li 11.641 11.641 11.641
Li 4.757 8.551 8.551
Mg 6.654 6.654 3.494
Mg 6.654 3.494 6.654
Mg 9.813 6.654 6.654
Mg 3.494 6.654 6.654
Mg 6.654 9.813 6.654
Mg 6.654 6.654 9.813
Cd 0.000 0.000 0.000
Cd 3.327 3.327 0.000
Cd 3.327 0.000 3.327
Cd 6.654 3.327 3.327
Cd 0.000 3.327 3.327
Cd 3.327 6.654 3.327
Cd 3.327 3.327 6.654
Cd 6.654 6.654 6.654
```

Properties
Final energy (eV per atom): -1.722
Symmetry: Fm-3m (225)
D(E_F) (states/eV/cell): 11.923